1.
Below is an optimized crystal structure of AcSm2Er, with properties calculated at the GGA-PBE level.

Cell and atoms, written as POSCAR:
```
AcSm2Er
1.0
8.3086 0.0000 0.0000
0.0000 8.3086 0.0000
0.0000 0.0000 8.3086
Ac Sm Er
4 8 4
Direct
0.0000 0.0000 0.0000
0.0000 0.5000 0.5000
0.5000 0.0000 0.5000
0.5000 0.5000 0.0000
0.2500 0.2500 0.2500
0.2500 0.2500 0.7500
0.2500 0.7500 0.2500
0.2500 0.7500 0.7500
0.7500 0.2500 0.2500
0.7500 0.2500 0.7500
0.7500 0.7500 0.2500
0.7500 0.7500 0.7500
0.0000 0.0000 0.5000
0.0000 0.5000 0.0000
0.5000 0.0000 0.0000
0.5000 0.5000 0.5000
```

Values from the calculation:
Symmetry = Fm-3m, No. 225
Energy of formation = 169 meV per atom
E = -69.74 eV for the cell shown
Crystal system = cubic
Volume = 35.85 Å³/atom
Distance to the lowest polymorph of the same formula = 125 meV per atom

---

2.
Below is an optimized crystal structure of Li2CoW, with properties calculated at the GGA-PBE level.

Cell and atoms, written as POSCAR:
```
Li2CoW
1.0
3.4026 0.0000 0.0000
0.0000 3.4026 0.0000
0.0000 0.0000 9.2824
Li Co W
4 2 2
Direct
0.0000 0.5000 0.2500
0.0000 0.5000 0.7500
0.5000 0.0000 0.2500
0.5000 0.0000 0.7500
0.0000 0.0000 0.0000
0.5000 0.5000 0.5000
0.0000 0.0000 0.5000
0.5000 0.5000 0.0000
```

Values from the calculation:
Symmetry = I4/mmm, No. 139
Energy of formation = 436 meV per atom
E = -44.28 eV for the cell shown
Crystal system = tetragonal
Volume = 13.43 Å³/atom
Distance to the lowest polymorph of the same formula = 160 meV per atom

---

3.
Below is an optimized crystal structure of RbHfSb2, with properties calculated at the GGA-PBE level.

Cell and atoms, written as POSCAR:
```
RbHfSb2
1.0
7.6485 0.0000 0.0000
0.0000 7.6485 0.0000
0.0000 0.0000 7.6485
Rb Hf Sb
4 4 8
Direct
0.0000 0.0000 0.0000
0.0000 0.5000 0.5000
0.5000 0.0000 0.5000
0.5000 0.5000 0.0000
0.0000 0.0000 0.5000
0.0000 0.5000 0.0000
0.5000 0.0000 0.0000
0.5000 0.5000 0.5000
0.2500 0.2500 0.2500
0.2500 0.2500 0.7500
0.2500 0.7500 0.2500
0.2500 0.7500 0.7500
0.7500 0.2500 0.2500
0.7500 0.2500 0.7500
0.7500 0.7500 0.2500
0.7500 0.7500 0.7500
```

Values from the calculation:
Symmetry = Fm-3m, No. 225
Raw formation energy = 0.623 eV/f.u.
E = -74.17 eV for the cell shown
Crystal system = cubic
Volume = 27.96 Å³/atom
Distance to the lowest polymorph of the same formula = 522 meV per atom

---

4.
Below is an optimized crystal structure of TaGaAu3, with properties calculated at the GGA-PBE level.

Cell and atoms, written as POSCAR:
```
TaGaAu3
1.0
4.7268 0.0000 0.0000
0.0000 4.7268 0.0000
0.0000 0.0000 4.7268
Ta Ga Au
1 1 3
Direct
0.0000 0.0000 0.0000
0.5000 0.5000 0.5000
0.0000 0.5000 0.5000
0.5000 0.0000 0.5000
0.5000 0.5000 0.0000
```

Values from the calculation:
Symmetry = Pm-3m, No. 221
Energy of formation = 879 meV per atom
E = -20.32 eV for the cell shown
Crystal system = cubic
Volume = 21.12 Å³/atom
Distance to the lowest polymorph of the same formula = 67 meV per atom

---

5.
Below is an optimized crystal structure of LiNiTe2, with properties calculated at the GGA-PBE level.

Cell and atoms, written as POSCAR:
```
LiNiTe2
1.0
5.3395 0.0000 0.0000
0.0000 3.8874 0.0000
-1.5460 0.0000 5.2424
Li Ni Te
1 1 2
Direct
0.0000 0.0000 0.0000
0.5000 0.0000 0.0000
0.2729 0.5000 0.7470
0.7271 0.5000 0.2530
```

Values from the calculation:
Symmetry = P2/m, No. 10
Raw formation energy = -1.295 eV/f.u.
E = -15.27 eV for the cell shown
Crystal system = monoclinic
Volume = 27.20 Å³/atom

---

6.
Below is an optimized crystal structure of K3Sr, with properties calculated at the GGA-PBE level.

Cell and atoms, written as POSCAR:
```
K3Sr
1.0
4.7950 0.0000 0.0000
0.0000 7.2595 0.0000
0.0000 0.0000 15.1561
K Sr
6 2
Direct
0.0000 0.0000 0.0000
0.0000 0.5000 0.2568
0.0000 0.5000 0.7432
0.5000 0.0000 0.2568
0.5000 0.0000 0.7432
0.5000 0.5000 0.0000
0.0000 0.0000 0.5000
0.5000 0.5000 0.5000
```

Values from the calculation:
Symmetry = Cmmm, No. 65
Energy of formation = 60 meV per atom
E = -9.47 eV for the cell shown
Crystal system = orthorhombic
Volume = 65.95 Å³/atom
Distance to the lowest polymorph of the same formula = 2 meV per atom

---

7.
Below is an optimized crystal structure of Mg2AlSi, with properties calculated at the GGA-PBE level.

Cell and atoms, written as POSCAR:
```
Mg2AlSi
1.0
4.9035 0.0000 0.0000
0.0000 4.9035 0.0000
0.0000 0.0000 3.1404
Mg Al Si
2 1 1
Direct
0.0000 0.5000 0.0000
0.5000 0.0000 0.0000
0.0000 0.0000 0.5000
0.5000 0.5000 0.5000
```

Values from the calculation:
Symmetry = P4/mmm, No. 123
Raw formation energy = 0.434 eV/f.u.
E = -11.92 eV for the cell shown
Crystal system = tetragonal
Volume = 18.88 Å³/atom

---

8.
Below is an optimized crystal structure of Ag2P2PbS7, with properties calculated at the GGA-PBE level.

Cell and atoms, written as POSCAR:
```
Ag2P2PbS7
1.0
3.2253 1.8621 9.6699
-3.2253 1.8621 9.6699
0.0000 -3.7242 9.6699
Ag P Pb S
2 2 1 7
Direct
0.2465 0.2465 0.2465
0.7535 0.7535 0.7535
0.0748 0.0748 0.0748
0.9252 0.9252 0.9252
0.5000 0.5000 0.5000
0.0000 0.0000 0.0000
0.1390 0.3724 0.7631
0.2369 0.6276 0.8610
0.3724 0.7631 0.1390
0.6276 0.8610 0.2369
0.7631 0.1390 0.3724
0.8610 0.2369 0.6276
```

Values from the calculation:
Symmetry = R32, No. 155
Raw formation energy = -1.085 eV/f.u.
E = -50.21 eV for the cell shown
Crystal system = trigonal
Volume = 29.04 Å³/atom